Entry 1:
This record from Alexandria via LeMat-Bulk describes a geometry-optimized CrAs2Ru structure. The functional is PBE-GGA.

Computed properties:
Its formation energy is 0.1642 eV per atom. The calculation puts the offset from the most stable computed form at 0.231 eV per atom. The space group is I-4m2.

abc: 5.261 5.261 5.261
angles: 139.56 139.56 58.52
Element x y z (fractional)
1 Cr 0.000 0.000 0.000
2 As 0.500 0.500 0.000
3 As 0.750 0.250 0.500
4 Ru 0.250 0.750 0.500


Entry 2:
This record from Alexandria via LeMat-Bulk describes a geometry-optimized CrAs2Ru structure. The functional is PBE-GGA.

Computed properties:
Its formation energy is 0.0482 eV per atom. The calculation puts the offset from the most stable computed form at 0.115 eV per atom. The space group is C2/m.

abc: 4.153 4.153 5.309
angles: 101.26 101.26 43.69
Element x y z (fractional)
1 Cr 0.000 0.000 0.000
2 As 0.245 0.245 0.742
3 As 0.755 0.755 0.258
4 Ru 0.500 0.500 0.500


Entry 3:
This record from Alexandria via LeMat-Bulk describes a geometry-optimized CrAs2Ru structure. The functional is PBE-GGA.

Computed properties:
Its formation energy is 0.0001 eV per atom. The calculation puts the offset from the most stable computed form at 0.067 eV per atom. The space group is P4mm.

abc: 2.900 2.900 7.828
angles: 90.00 90.00 90.00
Element x y z (fractional)
1 Cr 0.000 0.000 0.000
2 As 0.000 0.000 0.415
3 As 0.500 0.500 0.802
4 Ru 0.500 0.500 0.217


Entry 4:
This record from Alexandria via LeMat-Bulk describes a geometry-optimized CrAs2Ru structure. The functional is PBE-GGA.

Computed properties:
Its formation energy is 0.1158 eV per atom. The calculation puts the offset from the most stable computed form at 0.182 eV per atom. The space group is R-3m.

abc: 7.679 7.679 7.679
angles: 22.47 22.47 22.47
Element x y z (fractional)
1 Cr 0.000 0.000 0.000
2 As 0.252 0.252 0.252
3 As 0.748 0.748 0.748
4 Ru 0.500 0.500 0.500


Entry 5:
This record from Alexandria via LeMat-Bulk describes a geometry-optimized CrAs2RuSe structure. The functional is PBE-GGA.

Computed properties:
The value obtained for the uncorrected formation energy is 0.85 eV/atom. The calculation puts the offset from the most stable computed form at 0.000 eV per atom. The space group is P4/mmm.

abc: 4.575 4.575 4.677
angles: 90.00 90.00 90.00
Element x y z (fractional)
1 Cr 0.000 0.000 0.000
2 As 0.000 0.500 0.000
3 As 0.500 0.000 0.000
4 Ru 0.500 0.500 0.500
5 Se 0.000 0.000 0.500


Entry 6:
This record from Alexandria via LeMat-Bulk describes a geometry-optimized Cr2AsS structure. The functional is PBE-GGA.

Computed properties:
The value obtained for the uncorrected formation energy is -0.21 eV/atom. The calculation puts the offset from the most stable computed form at 0.000 eV per atom. The space group is R-3m.

abc: 6.278 6.278 6.278
angles: 33.28 33.28 33.28
Element x y z (fractional)
1 Cr 0.249 0.249 0.249
2 Cr 0.751 0.751 0.751
3 As 0.000 0.000 0.000
4 S 0.500 0.500 0.500


Entry 7:
This record from Alexandria via LeMat-Bulk describes a geometry-optimized Cr2AsS structure. The functional is PBE-GGA.

Computed properties:
The value obtained for the uncorrected formation energy is -0.16 eV/atom. The calculation puts the offset from the most stable computed form at 0.054 eV per atom. The space group is Cm.

abc: 3.067 3.067 6.825
angles: 103.05 103.05 60.09
Element x y z (fractional)
1 Cr 0.000 0.000 0.000
2 Cr 0.146 0.146 0.434
3 As 0.575 0.575 0.727
4 S 0.740 0.740 0.219


Entry 8:
This record from Alexandria via LeMat-Bulk describes a geometry-optimized CrAsS4 structure. The functional is PBE-GGA.

Computed properties:
The value obtained for the uncorrected formation energy is -0.30 eV/atom. The space group is C2/m.

abc: 7.177 7.177 6.040
angles: 113.63 113.63 27.29
Element x y z (fractional)
1 Cr 0.000 0.000 0.000
2 As 0.500 0.500 0.500
3 S 0.108 0.108 0.422
4 S 0.397 0.397 0.066
5 S 0.603 0.603 0.934
6 S 0.892 0.892 0.578


Entry 9:
This record from Alexandria via LeMat-Bulk describes a geometry-optimized Cr2AsS structure. The functional is PBE-GGA.

Computed properties:
The value obtained for the uncorrected formation energy is -0.08 eV/atom. The calculation puts the offset from the most stable computed form at 0.136 eV per atom. The space group is I-42d.

abc: 6.853 6.853 6.853
angles: 132.25 132.25 69.84
Element x y z (fractional)
1 Cr 0.108 0.625 0.983
2 Cr 0.375 0.358 0.483
3 Cr 0.642 0.125 0.017
4 Cr 0.875 0.892 0.517
5 As 0.250 0.750 0.500
6 As 0.500 0.500 0.000
7 S 0.000 0.000 0.000
8 S 0.750 0.250 0.500


Entry 10:
This record from Alexandria via LeMat-Bulk describes a geometry-optimized Cr3AsS structure. The functional is PBE-GGA.

Computed properties:
The value obtained for the uncorrected formation energy is 0.44 eV/atom. The calculation puts the offset from the most stable computed form at 0.000 eV per atom. The space group is Pm-3m.

abc: 4.237 4.237 4.237
angles: 90.00 90.00 90.00
Element x y z (fractional)
1 Cr 0.000 0.000 0.500
2 Cr 0.000 0.500 0.000
3 Cr 0.500 0.000 0.000
4 As 0.500 0.500 0.500
5 S 0.000 0.000 0.000


Entry 11:
This record from Alexandria via LeMat-Bulk describes a geometry-optimized Cr2AsS structure. The functional is PBE-GGA.

Computed properties:
The value obtained for the uncorrected formation energy is 0.06 eV/atom. The calculation puts the offset from the most stable computed form at 0.271 eV per atom. The space group is Fm-3m.

abc: 4.195 4.195 4.195
angles: 60.00 60.00 60.00
Element x y z (fractional)
1 Cr 0.250 0.250 0.250
2 Cr 0.750 0.750 0.750
3 As 0.000 0.000 0.000
4 S 0.500 0.500 0.500


Entry 12:
This record from Alexandria via LeMat-Bulk describes a geometry-optimized Cr3AsS structure. The functional is PBE-GGA.

Computed properties:
The value obtained for the uncorrected formation energy is 0.74 eV/atom. The calculation puts the offset from the most stable computed form at 0.300 eV per atom. The space group is Pm-3m.

abc: 4.803 4.803 4.803
angles: 90.00 90.00 90.00
Element x y z (fractional)
1 Cr 0.000 0.000 0.500
2 Cr 0.000 0.500 0.000
3 Cr 0.500 0.000 0.000
4 As 0.000 0.000 0.000
5 S 0.500 0.500 0.500


Entry 13:
This record from Alexandria via LeMat-Bulk describes a geometry-optimized ScCr2AsS structure. The functional is PBE-GGA.

Computed properties:
The value obtained for the uncorrected formation energy is 0.19 eV/atom. The space group is P4/mmm.

abc: 4.208 4.208 5.206
angles: 90.00 90.00 90.00
Element x y z (fractional)
1 Sc 0.000 0.000 0.000
2 Cr 0.000 0.500 0.500
3 Cr 0.500 0.000 0.500
4 As 0.500 0.500 0.000
5 S 0.500 0.500 0.500


Entry 14:
This record from Alexandria via LeMat-Bulk describes a geometry-optimized CrSi2AsS structure. The functional is PBE-GGA.

Computed properties:
The value obtained for the uncorrected formation energy is 0.91 eV/atom. The space group is P4/mmm.

abc: 4.658 4.658 4.187
angles: 90.00 90.00 90.00
Element x y z (fractional)
1 Cr 0.000 0.000 0.000
2 Si 0.000 0.500 0.500
3 Si 0.500 0.000 0.500
4 As 0.500 0.500 0.000
5 S 0.000 0.000 0.500


Entry 15:
This record from Alexandria via LeMat-Bulk describes a geometry-optimized SrCrAs2S8 structure. The functional is PBE-GGA.

Computed properties:
The value obtained for the uncorrected formation energy is -0.39 eV/atom. The space group is P-3.

abc: 6.009 6.009 8.601
angles: 90.00 90.00 120.00
Element x y z (fractional)
1 Sr 0.000 0.000 0.000
2 Cr 0.000 0.000 0.500
3 As 0.333 0.667 0.728
4 As 0.667 0.333 0.272
5 S 0.022 0.706 0.329
6 S 0.294 0.316 0.329
7 S 0.316 0.022 0.671
8 S 0.333 0.667 0.979
9 S 0.667 0.333 0.021
10 S 0.684 0.978 0.329
11 S 0.706 0.684 0.671
12 S 0.978 0.294 0.671


What are the calculated volume values for these records? In order: 15.18; 15.46; 16.46; 14.50; 19.58; 16.58; 13.43; 21.66; 21.62; 15.22; 13.05; 22.16; 18.44; 18.17; 22.41 Å³/atom.
What are the total moment values for these records? In order: 2.60; 3.09; 1.22; 1.11; 2.09; 6.81; 1.68; 2.19; 7.00; 4.85; 2.82; 12.99; 4.16; 0.11; 1.98 μB/f.u..